# 1
# CuHgTe2 PBE optimized geometry
# formation energy from raw total energies = 10 kJ/mol of atoms
data_CuHgTe2
_chemical_formula_sum 'Cu4 Hg4 Te8'
_symmetry_space_group_name_H-M 'C m c m'
_symmetry_Int_Tables_number 63
_symmetry_space_group_name_Hall '-C 2c 2'
_cell_length_a 3.6335
_cell_length_b 23.6510
_cell_length_c 5.1931
_cell_angle_alpha 90.00
_cell_angle_beta 90.00
_cell_angle_gamma 90.00
loop_
_atom_site_label
_atom_site_type_symbol
_atom_site_fract_x
_atom_site_fract_y
_atom_site_fract_z
Cu1 Cu 0.0000 0.0664 0.2500
Hg1 Hg 0.0000 0.3173 0.2500
Te1 Te 0.0000 0.0411 0.7500
Te2 Te 0.0000 0.1735 0.2500

---

# 2
# Cr2SbC PBE optimized geometry
# formation energy from raw total energies = 48 kJ/mol of atoms
data_Cr2SbC
_chemical_formula_sum 'Cr8 Sb4 C4'
_symmetry_space_group_name_H-M 'I -4 2 d'
_symmetry_Int_Tables_number 122
_symmetry_space_group_name_Hall 'I -4 2bw'
_cell_length_a 5.4129
_cell_length_b 5.4129
_cell_length_c 9.4150
_cell_angle_alpha 90.00
_cell_angle_beta 90.00
_cell_angle_gamma 90.00
loop_
_atom_site_label
_atom_site_type_symbol
_atom_site_fract_x
_atom_site_fract_y
_atom_site_fract_z
Cr1 Cr 0.1340 0.2500 0.1250
Sb1 Sb 0.0000 0.0000 0.5000
C1 C 0.0000 0.0000 0.0000

---

# 3
# CdPtW2 PBE optimized geometry
# uncorrected energy = -7.88 eV per atom
data_CdPtW2
_chemical_formula_sum 'Cd2 Pt2 W4'
_symmetry_space_group_name_H-M 'C 1 2/m 1'
_symmetry_Int_Tables_number 12
_cell_length_a 5.4660
_cell_length_b 8.8583
_cell_length_c 2.7445
_cell_angle_alpha 90.00
_cell_angle_beta 90.18
_cell_angle_gamma 90.00
loop_
_symmetry_equiv_pos_as_xyz
'x,y,z'
'-x,-y,-z'
'-x,y,-z'
'x,-y,z'
'x+1/2,y+1/2,z'
'-x+1/2,-y+1/2,-z'
'-x+1/2,y+1/2,-z'
'x+1/2,-y+1/2,z'
loop_
_atom_site_label
_atom_site_type_symbol
_atom_site_fract_x
_atom_site_fract_y
_atom_site_fract_z
Cd1 Cd 0.0000 0.0000 0.0000
Pt1 Pt 0.0000 0.5000 0.0000
W1 W 0.2500 0.2500 0.5000

---

# 4
# HgBi3As PBE optimized geometry
# offset from the most stable computed form = 2.10 eV/f.u.
data_HgBi3As
_chemical_formula_sum 'Hg1 Bi3 As1'
_symmetry_space_group_name_H-M 'P m -3 m'
_symmetry_Int_Tables_number 221
_symmetry_space_group_name_Hall '-P 4 2 3'
_cell_length_a 5.6602
_cell_length_b 5.6602
_cell_length_c 5.6602
_cell_angle_alpha 90.00
_cell_angle_beta 90.00
_cell_angle_gamma 90.00
loop_
_atom_site_label
_atom_site_type_symbol
_atom_site_fract_x
_atom_site_fract_y
_atom_site_fract_z
Hg1 Hg 0.0000 0.0000 0.0000
Bi1 Bi 0.0000 0.0000 0.5000
As1 As 0.5000 0.5000 0.5000